1.
First-principles (PBE) data for crystalline NaCa2SnTe4 at its relaxed geometry, as listed in Alexandria via LeMat-Bulk.

## Properties
The crystal system is monoclinic. The value obtained for the raw formation energy is -8.0 eV per formula unit.

Structure (POSCAR):
```
NaCa2SnTe4
1.0
-3.625 -1.857 -1.756
-0.911 -4.359 6.491
-3.899 6.698 0.964
Na Ca Sn Te
1 2 1 4
Cartesian
-2.268 -3.108 2.368 Na
-3.762 2.420 -0.396 Ca
-2.405 1.169 3.728 Ca
0.000 0.000 0.000 Sn
-3.004 -0.330 0.948 Te
-5.431 0.811 4.752 Te
-3.144 3.976 2.285 Te
-1.666 -1.637 5.170 Te
```

2.
First-principles (PBE) data for crystalline SbRhF3 at its relaxed geometry, as listed in Alexandria via LeMat-Bulk.

## Properties
The crystal system is cubic. Its energy above the lowest structure with this stoichiometry is 0.108 eV per atom. The value obtained for the raw formation energy is -3.6 eV per formula unit.

Structure (POSCAR):
```
SbRhF3
1.0
4.274 0.000 0.000
0.000 4.274 0.000
0.000 0.000 4.274
Sb Rh F
1 1 3
Cartesian
2.137 2.137 2.137 Sb
0.000 0.000 0.000 Rh
0.000 2.137 0.000 F
0.000 0.000 2.137 F
2.137 0.000 0.000 F
```

3.
First-principles (PBE) data for crystalline BaZn2Au2 at its relaxed geometry, as listed in Alexandria via LeMat-Bulk.

## Properties
The crystal system is tetragonal. The calculated formation energy comes out at -161 meV per atom. Its energy above the lowest structure with this stoichiometry is 0.338 eV per atom.

Structure (POSCAR):
```
BaZn2Au2
1.0
-3.109 -4.867 -5.773
6.559 1.351 -4.672
1.571 -2.696 1.427
Zn Au Ba
4 4 2
Cartesian
4.565 -1.182 -3.136 Zn
4.390 -3.331 -7.004 Zn
0.456 -5.030 -5.882 Zn
0.632 -2.881 -2.014 Zn
4.557 -0.625 -6.201 Au
1.427 -3.383 -7.966 Au
-1.106 -2.890 -4.243 Au
2.024 -0.132 -2.479 Au
0.000 0.000 0.000 Ba
1.725 -1.758 -5.222 Ba
```

4.
First-principles (PBE) data for crystalline VCuS at its relaxed geometry, as listed in Alexandria via LeMat-Bulk.

## Properties
The crystal system is monoclinic. Its energy above the lowest structure with this stoichiometry is 0.000 eV per atom. The value obtained for the raw formation energy is -0.8 eV per formula unit.

Structure (POSCAR):
```
VCuS
1.0
-1.780 0.588 -2.494
1.065 -0.525 -2.836
-5.968 -8.592 0.282
V Cu S
2 2 2
Cartesian
-2.876 -3.423 -4.610 V
-3.807 -5.106 -0.438 V
-6.765 -7.445 -2.782 Cu
0.082 -1.083 -2.266 Cu
-1.857 -2.097 -1.121 S
-4.826 -6.432 -3.928 S
```